# 1
ThPdRhAu | GGA-PBE | relaxed

Unit cell a=4.799 b=4.799 c=4.799 alpha=60.00 beta=60.00 gamma=60.00
Sites, in units of the cell vectors:
Th (0.000, 0.000, 0.000)
Pd (0.250, 0.250, 0.250)
Rh (0.750, 0.750, 0.750)
Au (0.500, 0.500, 0.500)

ΔH_f (0 K): -0.672 eV/atom
density: 13.6 g/cm³
raw total energy: -25.93 eV/cell
ΔE to the lowest computed polymorph: 0.574 eV per formula unit

***

# 2
Th2PdRhAu | GGA-PBE | relaxed

Unit cell a=7.339 b=4.286 c=7.632 alpha=90.00 beta=105.53 gamma=90.00
Sites, in units of the cell vectors:
Th (0.157, 0.250, 0.356)
Th (0.292, 0.250, 0.941)
Th (0.708, 0.750, 0.059)
Th (0.843, 0.750, 0.644)
Pd (0.464, 0.750, 0.348)
Pd (0.536, 0.250, 0.652)
Rh (0.121, 0.750, 0.086)
Rh (0.879, 0.250, 0.914)
Au (0.279, 0.750, 0.656)
Au (0.721, 0.250, 0.344)

ΔH_f (0 K): -0.741 eV/atom
density: 12.5 g/cm³
raw total energy: -68.74 eV/cell

***

# 3
ThPdRhAu | GGA-PBE | relaxed

Unit cell a=4.007 b=4.219 c=4.528 alpha=90.00 beta=90.00 gamma=90.00
Sites, in units of the cell vectors:
Th (0.000, 0.000, 0.000)
Pd (0.500, 0.000, 0.500)
Rh (0.500, 0.500, 0.000)
Au (0.000, 0.500, 0.500)

ΔH_f (0 K): -0.816 eV/atom
density: 13.8 g/cm³
raw total energy: -26.50 eV/cell
ΔE to the lowest computed polymorph: 0.000 eV per formula unit

***

# 4
TiPdRhAu | GGA-PBE | relaxed

Unit cell a=3.792 b=3.930 c=4.151 alpha=90.00 beta=90.00 gamma=90.00
Sites, in units of the cell vectors:
Ti (0.000, 0.000, 0.000)
Pd (0.500, 0.000, 0.500)
Rh (0.500, 0.500, 0.000)
Au (0.000, 0.500, 0.500)

ΔH_f (0 K): -0.544 eV/atom
density: 12.2 g/cm³
raw total energy: -25.89 eV/cell

***

# 5
TlPdRhAu | GGA-PBE | relaxed

Unit cell a=4.614 b=4.614 c=4.614 alpha=60.00 beta=60.00 gamma=60.00
Sites, in units of the cell vectors:
Tl (0.000, 0.000, 0.000)
Pd (0.250, 0.250, 0.250)
Rh (0.750, 0.750, 0.750)
Au (0.500, 0.500, 0.500)

ΔH_f (0 K): -0.042 eV/atom
density: 14.6 g/cm³
raw total energy: -18.36 eV/cell

***

# 6
TmPdRhAu | GGA-PBE | relaxed

Unit cell a=4.652 b=4.652 c=4.652 alpha=60.00 beta=60.00 gamma=60.00
Sites, in units of the cell vectors:
Tm (0.000, 0.000, 0.000)
Pd (0.750, 0.750, 0.750)
Rh (0.250, 0.250, 0.250)
Au (0.500, 0.500, 0.500)

ΔH_f (0 K): -0.661 eV/atom
density: 13.4 g/cm³
raw total energy: -22.94 eV/cell
ΔE to the lowest computed polymorph: 0.492 eV per formula unit

***

# 7
TmPdRhAu | GGA-PBE | relaxed

Unit cell a=3.912 b=4.182 c=4.257 alpha=90.00 beta=90.00 gamma=90.00
Sites, in units of the cell vectors:
Tm (0.000, 0.000, 0.000)
Pd (0.500, 0.000, 0.500)
Rh (0.500, 0.500, 0.000)
Au (0.000, 0.500, 0.500)

ΔH_f (0 K): -0.784 eV/atom
density: 13.7 g/cm³
raw total energy: -23.43 eV/cell
ΔE to the lowest computed polymorph: 0.000 eV per formula unit

***

# 8
VPdRhAu | GGA-PBE | relaxed

Unit cell a=4.431 b=4.431 c=4.431 alpha=60.00 beta=60.00 gamma=60.00
Sites, in units of the cell vectors:
V (0.000, 0.000, 0.000)
Pd (0.750, 0.750, 0.750)
Rh (0.250, 0.250, 0.250)
Au (0.500, 0.500, 0.500)

ΔH_f (0 K): -0.049 eV/atom
density: 12.3 g/cm³
raw total energy: -25.13 eV/cell
ΔE to the lowest computed polymorph: 0.638 eV per formula unit

***

# 9
VPdRhAu | GGA-PBE | relaxed

Unit cell a=2.806 b=2.806 c=7.749 alpha=90.00 beta=90.00 gamma=90.00
Sites, in units of the cell vectors:
V (0.000, 0.000, 0.000)
Pd (0.500, 0.500, 0.766)
Rh (0.500, 0.500, 0.210)
Au (0.000, 0.000, 0.489)

ΔH_f (0 K): -0.208 eV/atom
density: 12.4 g/cm³
raw total energy: -25.77 eV/cell
ΔE to the lowest computed polymorph: 0.000 eV per formula unit

***

# 10
YPdRhAu | GGA-PBE | relaxed

Unit cell a=3.944 b=4.223 c=4.301 alpha=90.00 beta=90.00 gamma=90.00
Sites, in units of the cell vectors:
Y (0.000, 0.000, 0.000)
Pd (0.500, 0.000, 0.500)
Rh (0.500, 0.500, 0.000)
Au (0.000, 0.500, 0.500)

ΔH_f (0 K): -0.716 eV/atom
density: 11.5 g/cm³
raw total energy: -25.15 eV/cell

***

# 11
Zn2PdRhAu | GGA-PBE | relaxed

Unit cell a=4.601 b=4.601 c=5.016 alpha=90.00 beta=90.00 gamma=90.00
Sites, in units of the cell vectors:
Zn (0.000, 0.500, 0.000)
Zn (0.500, 0.000, 0.000)
Pd (0.000, 0.000, 0.000)
Rh (0.500, 0.500, 0.500)
Au (0.000, 0.000, 0.500)

ΔH_f (0 K): 0.685 eV/atom
density: 8.4 g/cm³
raw total energy: -14.94 eV/cell

***

# 12
ZrPdRhAu | GGA-PBE | relaxed

Unit cell a=3.863 b=4.044 c=4.284 alpha=90.00 beta=90.00 gamma=90.00
Sites, in units of the cell vectors:
Zr (0.000, 0.000, 0.000)
Pd (0.500, 0.000, 0.500)
Rh (0.500, 0.500, 0.000)
Au (0.000, 0.500, 0.500)

ΔH_f (0 K): -0.698 eV/atom
density: 12.3 g/cm³
raw total energy: -27.16 eV/cell

***

# 13
ZrPd2RhAu | GGA-PBE | relaxed

Unit cell a=6.374 b=4.051 c=6.480 alpha=90.00 beta=90.98 gamma=90.00
Sites, in units of the cell vectors:
Zr (0.229, 0.250, 0.248)
Zr (0.771, 0.750, 0.752)
Pd (0.152, 0.750, 0.549)
Pd (0.447, 0.250, 0.647)
Pd (0.553, 0.750, 0.353)
Pd (0.848, 0.250, 0.451)
Rh (0.043, 0.250, 0.840)
Rh (0.957, 0.750, 0.160)
Au (0.345, 0.750, 0.940)
Au (0.655, 0.250, 0.060)

ΔH_f (0 K): -0.508 eV/atom
density: 12.0 g/cm³
raw total energy: -64.21 eV/cell

***

# 14
PdRu2Au | GGA-PBE | relaxed

Unit cell a=5.704 b=5.704 c=5.704 alpha=102.07 beta=102.07 gamma=125.59
Sites, in units of the cell vectors:
Pd (0.000, 0.000, 0.000)
Pd (0.750, 0.250, 0.500)
Ru (0.117, 0.625, 0.992)
Ru (0.375, 0.367, 0.492)
Ru (0.633, 0.125, 0.008)
Ru (0.875, 0.883, 0.508)
Au (0.250, 0.750, 0.500)
Au (0.500, 0.500, 0.000)

ΔH_f (0 K): 0.891 eV/atom
density: 12.5 g/cm³
raw total energy: -46.92 eV/cell
ΔE to the lowest computed polymorph: 1.323 eV per formula unit